1.
Material: LiTlHgTe2
Method: DFT, PBE
State: optimized geometry

The space group is C2/m. The calculated total energy comes out at -26.16 eV per cell. The uncorrected formation energy comes out at -2.21 eV/f.u.

Geometry as POSCAR:
```
LiTlHgTe2
1.0
7.3279 -2.3615 0.0000
7.3279 2.3615 0.0000
-6.6914 0.0000 9.2988
Li Tl Hg Te
2 2 2 4
Cartesian
-0.8858 0.0000 3.9616
8.8502 0.0000 5.3372
-1.3078 0.0000 7.9979
9.2722 0.0000 1.3010
4.6515 0.0000 2.7869
3.3129 0.0000 6.5119
-4.7530 0.0000 7.9913
1.9377 0.0000 3.8598
6.0267 0.0000 5.4390
12.7174 0.0000 1.3075
```


2.
Material: LiTlHgTe
Method: DFT, PBE
State: optimized geometry

As for the offset from the most stable computed form: 0.000 eV/atom. The space group is P4/nmm. The calculated total energy comes out at -19.24 eV per cell. The uncorrected formation energy comes out at -1.90 eV/f.u.

Geometry as POSCAR:
```
LiTlHgTe
1.0
4.8152 0.0000 0.0000
0.0000 4.8152 0.0000
0.0000 0.0000 9.8479
Li Tl Hg Te
2 2 2 2
Cartesian
1.2038 3.6114 0.0000
3.6114 1.2038 0.0000
1.2038 1.2038 2.3812
3.6114 3.6114 7.4667
1.2038 3.6114 4.9239
3.6114 1.2038 4.9239
1.2038 1.2038 8.3351
3.6114 3.6114 1.5128
```